An optimized crystal structure of NaAuI4O12, computed with PBE.

```
data_NaAuI4O12
_chemical_formula_sum 'Na1 Au1 I4 O12'
_symmetry_space_group_name_H-M 'P 1'
_symmetry_Int_Tables_number 1
_cell_length_a 5.749
_cell_length_b 7.192
_cell_length_c 8.273
_cell_angle_alpha 106.31
_cell_angle_beta 95.94
_cell_angle_gamma 109.57
loop_
_symmetry_equiv_pos_as_xyz
'x,y,z'
loop_
_atom_site_label
_atom_site_type_symbol
_atom_site_fract_x
_atom_site_fract_y
_atom_site_fract_z
Na1 Na 0.000 0.000 0.000
Au1 Au 0.248 0.015 0.455
I1 I 0.333 0.631 0.153
I2 I 0.352 0.731 0.696
I3 I 0.653 0.369 0.836
I4 I 0.717 0.306 0.319
O1 O 0.048 0.390 0.072
O2 O 0.113 0.812 0.581
O3 O 0.121 0.784 0.226
O4 O 0.208 0.745 0.882
O5 O 0.336 0.256 0.677
O6 O 0.364 0.213 0.321
O7 O 0.465 0.637 0.365
O8 O 0.509 0.337 0.020
O9 O 0.622 0.982 0.768
O10 O 0.668 0.636 0.869
O11 O 0.735 0.054 0.217
O12 O 0.849 0.356 0.545
```

Results
ΔE_f (raw) = -7.47 eV/f.u.
volume = 301.9 Å³/cell
symmetry = No. 1
magnetization = 0.00 Bohr magnetons per cell